1.
This record from the Alexandria database describes a geometry-optimized Pm6SiGe2S3 structure. The functional is PBE-GGA.

a b c (Å): 4.162 8.336 9.315
angles (deg): 103.41 102.91 90.00
Fractional coordinates of all 12 atoms:
Pm: 0.999 0.249 0.998
Pm: 0.334 0.416 0.668
Si: 0.500 0.000 0.000
S: 0.500 0.500 0.000
S: 0.167 0.833 0.333
Pm: 0.333 0.918 0.667
Pm: 0.667 0.082 0.333
Pm: 0.001 0.751 0.002
Ge: 0.167 0.333 0.333
S: 0.833 0.167 0.667
Ge: 0.833 0.667 0.667
Pm: 0.666 0.584 0.332

Results
Formation energy without anion corrections: -1.43 eV per atom
Spin magnetization: 0.00 μB/atom
Space-group type: C2/m (12)


2.
This record from the Alexandria database describes a geometry-optimized YHgBiPd structure. The functional is PBE-GGA.

a b c (Å): 5.113 5.113 5.113
angles (deg): 60.00 60.00 60.00
Fractional coordinates of all 4 atoms:
Y: 0.750 0.750 0.750
Pd: 0.000 0.000 0.000
Hg: 0.500 0.500 0.500
Bi: 0.250 0.250 0.250

Results
Spin magnetization: 0.00 μB/atom
Formation energy: -1.94 eV per formula unit
Space-group type: F-43m (216)